No. 1
The following is a GGA-PBE calculation of an optimized crystal structure of TiTlCd2, from the Alexandria database.

Computed properties:
Volume   23.72 A^3/atom
Energy of formation   1.39 eV/f.u.
DOS(E_F)   3.172 states/eV/cell
Distance to the lowest polymorph of the same formula   0.276 eV per atom
Total DFT energy (no corrections)   -2.67 eV/atom

a b c (Å): 8.0364 8.0364 6.3971
angles (deg): 51.09 51.09 90.00
With the nearest neighbours (Å) after each atom.
Positions (direct):
Ti 0.2500 0.7500 0.5000  4 Cd 2.88, 2 Tl 2.94
Ti 0.5000 0.5000 0.0000  4 Cd 2.88, 2 Tl 2.94
Cd 0.8750 0.8654 0.7500  2 Ti 2.88, 2 Cd 2.94, 2 Tl 2.99
Cd 0.1346 0.6250 0.2500  2 Ti 2.88, 2 Cd 2.94, 2 Tl 2.99
Cd 0.3750 0.3846 0.7500  2 Ti 2.88, 2 Cd 2.94, 2 Tl 2.99
Cd 0.6154 0.1250 0.2500  2 Ti 2.88, 2 Cd 2.94, 2 Tl 2.99
Tl 0.7500 0.2500 0.5000  2 Ti 2.94, 4 Cd 2.99
Tl 0.0000 0.0000 0.0000  2 Ti 2.94, 4 Cd 2.99

---

No. 2
The following is a GGA-PBE calculation of an optimized crystal structure of HoLuScOs, from the Alexandria database.

Computed properties:
Volume   21.69 A^3/atom
Energy of formation   -0.20 eV/f.u.
DOS(E_F)   3.356 states/eV/cell
Total DFT energy (no corrections)   -6.71 eV/atom

a b c (Å): 4.9691 4.9691 4.9691
angles (deg): 60.00 60.00 60.00
With the nearest neighbours (Å) after each atom.
Positions (direct):
Sc 0.0000 0.0000 0.0000  4 Lu 3.04, 4 Ho 3.04
Ho 0.2500 0.2500 0.2500  4 Os 3.04, 4 Sc 3.04
Os 0.5000 0.5000 0.5000  4 Ho 3.04, 4 Lu 3.04
Lu 0.7500 0.7500 0.7500  4 Os 3.04, 4 Sc 3.04

---

> Which value of DOS(E_F) does entry 1 give?

3.172 states/eV/cell